No. 1
Below is crystalline Ce2DyY at its relaxed geometry, with properties calculated at the GGA-PBE level.

Computed properties:
- offset from the most stable computed form (meV per atom) = 4
- space-group type = No. 160
- DFT total energy (eV per atom) = -5.636

```
Ce2DyY
1.0
3.497 0.000 0.000
-1.749 3.029 0.000
0.000 0.000 34.636
Ce Dy Y
6 3 3
Direct
0.000 0.000 0.000 Ce
0.000 0.000 0.165 Ce
0.333 0.667 0.667 Ce
0.333 0.667 0.832 Ce
0.667 0.333 0.333 Ce
0.667 0.333 0.498 Ce
0.000 0.000 0.750 Dy
0.333 0.667 0.417 Dy
0.667 0.333 0.084 Dy
0.000 0.000 0.581 Y
0.333 0.667 0.248 Y
0.667 0.333 0.914 Y
```



No. 2
Below is crystalline CePrYSn at its relaxed geometry, with properties calculated at the GGA-PBE level.

Computed properties:
- space-group type = No. 216
- DFT total energy (eV per atom) = -5.501

```
CePrYSn
1.0
7.739 0.000 0.000
0.000 7.739 0.000
0.000 0.000 7.739
Ce Pr Y Sn
4 4 4 4
Direct
0.000 0.000 0.000 Ce
0.000 0.500 0.500 Ce
0.500 0.000 0.500 Ce
0.500 0.500 0.000 Ce
0.250 0.250 0.250 Pr
0.250 0.750 0.750 Pr
0.750 0.250 0.750 Pr
0.750 0.750 0.250 Pr
0.250 0.250 0.750 Y
0.250 0.750 0.250 Y
0.750 0.250 0.250 Y
0.750 0.750 0.750 Y
0.000 0.000 0.500 Sn
0.000 0.500 0.000 Sn
0.500 0.000 0.000 Sn
0.500 0.500 0.500 Sn
```



No. 3
Below is crystalline Cu2MoRh at its relaxed geometry, with properties calculated at the GGA-PBE level.

Computed properties:
- space-group type = No. 123
- DFT total energy (eV per atom) = -6.345

```
Cu2MoRh
1.0
3.692 0.000 0.000
0.000 3.692 0.000
0.000 0.000 4.018
Cu Mo Rh
2 1 1
Direct
0.000 0.500 0.000 Cu
0.500 0.000 0.000 Cu
0.000 0.000 0.500 Mo
0.500 0.500 0.500 Rh
```



No. 4
Below is crystalline Sm3Tm2Tl2 at its relaxed geometry, with properties calculated at the GGA-PBE level.

Computed properties:
- offset from the most stable computed form (meV per atom) = 88
- space-group type = No. 65
- DFT total energy (eV per atom) = -4.076

```
Sm3Tm2Tl2
1.0
5.038 0.000 0.000
0.000 23.445 0.000
0.000 0.000 3.552
Sm Tm Tl
6 4 4
Direct
0.000 0.000 0.000 Sm
0.000 0.148 0.000 Sm
0.000 0.852 0.000 Sm
0.500 0.352 0.000 Sm
0.500 0.500 0.000 Sm
0.500 0.648 0.000 Sm
0.000 0.286 0.500 Tm
0.000 0.714 0.500 Tm
0.500 0.214 0.500 Tm
0.500 0.786 0.500 Tm
0.000 0.427 0.500 Tl
0.000 0.573 0.500 Tl
0.500 0.073 0.500 Tl
0.500 0.927 0.500 Tl
```



No. 5
Below is crystalline Sm5Ag3 at its relaxed geometry, with properties calculated at the GGA-PBE level.

Computed properties:
- space-group type = No. 123
- DFT total energy (eV per atom) = -4.209

```
Sm5Ag3
1.0
3.671 0.000 0.000
0.000 3.671 0.000
0.000 0.000 16.553
Sm Ag
5 3
Direct
0.000 0.000 0.000 Sm
0.000 0.000 0.227 Sm
0.000 0.000 0.773 Sm
0.500 0.500 0.385 Sm
0.500 0.500 0.615 Sm
0.000 0.000 0.500 Ag
0.500 0.500 0.113 Ag
0.500 0.500 0.887 Ag
```



No. 6
Below is crystalline ZnIBr2 at its relaxed geometry, with properties calculated at the GGA-PBE level.

Computed properties:
- formation energy (no corrections) (eV/atom) = -0.586
- offset from the most stable computed form (meV per atom) = 51
- space-group type = No. 8
- DFT total energy (eV per atom) = -2.128

```
ZnIBr2
1.0
13.618 0.000 0.000
0.000 6.564 0.000
-6.278 0.000 7.629
Zn I Br
4 4 8
Direct
0.000 0.248 0.000 Zn
0.000 0.752 0.000 Zn
0.500 0.252 0.000 Zn
0.500 0.748 0.000 Zn
0.133 0.000 0.570 I
0.319 0.500 0.920 I
0.633 0.500 0.570 I
0.819 0.000 0.920 I
0.076 0.500 0.232 Br
0.159 0.000 0.063 Br
0.400 0.500 0.434 Br
0.432 0.000 0.764 Br
0.576 0.000 0.232 Br
0.659 0.500 0.063 Br
0.900 0.000 0.434 Br
0.932 0.500 0.764 Br
```



No. 7
Below is crystalline Ho3PaTl4S8 at its relaxed geometry, with properties calculated at the GGA-PBE level.

Computed properties:
- formation energy (no corrections) (eV/atom) = -1.374
- space-group type = No. 12
- DFT total energy (eV per atom) = -5.482

```
Ho3PaTl4S8
1.0
6.928 -4.000 0.000
6.928 4.000 0.000
-4.632 0.000 7.776
Ho Pa Tl S
3 1 4 8
Direct
0.000 0.000 0.000 Ho
0.000 0.500 0.000 Ho
0.500 0.000 0.000 Ho
0.500 0.500 0.000 Pa
0.000 0.000 0.500 Tl
0.000 0.500 0.500 Tl
0.500 0.000 0.500 Tl
0.500 0.500 0.500 Tl
0.230 0.230 0.189 S
0.232 0.730 0.191 S
0.270 0.270 0.809 S
0.270 0.768 0.809 S
0.730 0.232 0.191 S
0.730 0.730 0.191 S
0.768 0.270 0.809 S
0.770 0.770 0.811 S
```



No. 8
Below is crystalline Sc2InSb at its relaxed geometry, with properties calculated at the GGA-PBE level.

Computed properties:
- formation energy (no corrections) (eV/atom) = -0.508
- offset from the most stable computed form (meV per atom) = 93
- space-group type = No. 71
- DFT total energy (eV per atom) = -5.388

```
Sc2InSb
1.0
4.439 0.000 0.000
0.000 4.838 0.000
0.000 0.000 8.573
Sc In Sb
4 2 2
Direct
0.000 0.000 0.246 Sc
0.000 0.000 0.754 Sc
0.500 0.500 0.254 Sc
0.500 0.500 0.746 Sc
0.000 0.500 0.000 In
0.500 0.000 0.500 In
0.000 0.500 0.500 Sb
0.500 0.000 0.000 Sb
```



No. 9
Below is crystalline CsTbTl2I6 at its relaxed geometry, with properties calculated at the GGA-PBE level.

Computed properties:
- formation energy (no corrections) (eV/atom) = -1.137
- space-group type = No. 1
- DFT total energy (eV per atom) = -3.089

```
CsTbTl2I6
1.0
8.768 0.000 0.000
-4.381 7.599 0.000
-4.384 -2.530 7.803
Cs Tb Tl I
1 1 2 6
Direct
0.000 0.000 0.000 Cs
0.970 0.485 0.454 Tb
0.583 0.292 0.874 Tl
0.616 0.809 0.424 Tl
0.096 0.438 0.208 I
0.102 0.261 0.670 I
0.409 0.842 0.669 I
0.549 0.112 0.207 I
0.770 0.659 0.207 I
0.829 0.569 0.669 I
```



No. 10
Below is crystalline SmYO at its relaxed geometry, with properties calculated at the GGA-PBE level.

Computed properties:
- formation energy (no corrections) (eV/atom) = -1.645
- offset from the most stable computed form (meV per atom) = 122
- space-group type = No. 84
- DFT total energy (eV per atom) = -7.025

```
SmYO
1.0
9.327 0.000 0.000
0.000 9.327 0.000
0.000 0.000 3.632
Sm Y O
4 4 4
Direct
0.068 0.792 0.000 Sm
0.208 0.068 0.500 Sm
0.792 0.932 0.500 Sm
0.932 0.208 0.000 Sm
0.252 0.432 0.000 Y
0.432 0.748 0.500 Y
0.568 0.252 0.500 Y
0.748 0.568 0.000 Y
0.297 0.557 0.500 O
0.443 0.297 0.000 O
0.557 0.703 0.000 O
0.703 0.443 0.500 O
```



No. 11
Below is crystalline TlGaSb2Ir at its relaxed geometry, with properties calculated at the GGA-PBE level.

Computed properties:
- formation energy (no corrections) (eV/atom) = 0.376
- space-group type = No. 123
- DFT total energy (eV per atom) = -4.124

```
TlGaSb2Ir
1.0
5.249 0.000 0.000
0.000 5.249 0.000
0.000 0.000 5.257
Tl Ga Sb Ir
1 1 2 1
Direct
0.000 0.000 0.000 Tl
0.500 0.500 0.000 Ga
0.000 0.500 0.500 Sb
0.500 0.000 0.500 Sb
0.000 0.000 0.500 Ir
```



No. 12
Below is crystalline TeAu2Br at its relaxed geometry, with properties calculated at the GGA-PBE level.

Computed properties:
- formation energy (no corrections) (eV/atom) = 0.068
- offset from the most stable computed form (meV per atom) = 100
- space-group type = No. 35
- DFT total energy (eV per atom) = -2.774

```
TeAu2Br
1.0
4.174 0.000 0.000
0.000 7.089 0.000
0.000 0.000 7.962
Te Au Br
2 4 2
Direct
0.000 0.000 0.000 Te
0.500 0.500 0.000 Te
0.000 0.000 0.588 Au
0.000 0.500 0.802 Au
0.500 0.000 0.802 Au
0.500 0.500 0.588 Au
0.000 0.500 0.387 Br
0.500 0.000 0.387 Br
```